No. 1
Cs2SbCl4 | GGA-PBE | relaxed

a = 7.327 Å, b = 7.327 Å, c = 7.327 Å
α = 113.28°, β = 113.28°, γ = 102.10°
Fractional positions:
Cs: 0.250 0.750 0.500
Cs: 0.750 0.250 0.500
Sb: 0.000 0.000 0.000
Cl: 0.234 0.234 0.468
Cl: 0.234 0.766 0.000
Cl: 0.766 0.234 0.000
Cl: 0.766 0.766 0.532

The formation energy from raw total energies comes out at -1.41 eV/atom. Its distance to the lowest polymorph of the same formula is 0.0 meV/atom.

---

No. 2
CsSb2Cl | GGA-PBE | relaxed

a = 18.815 Å, b = 18.815 Å, c = 18.815 Å
α = 166.01°, β = 166.01°, γ = 19.84°
Fractional positions:
Cs: 0.000 0.000 0.000
Cs: 0.750 0.250 0.500
Sb: 0.190 0.125 0.565
Sb: 0.375 0.810 0.935
Sb: 0.560 0.625 0.435
Sb: 0.875 0.440 0.065
Cl: 0.250 0.750 0.500
Cl: 0.500 0.500 0.000

The formation energy from raw total energies comes out at -0.59 eV/atom. Its distance to the lowest polymorph of the same formula is 0.0 meV/atom.

---

No. 3
Cs8Sb2Cl | GGA-PBE | relaxed

a = 11.785 Å, b = 11.785 Å, c = 11.785 Å
α = 148.02°, β = 136.19°, γ = 55.27°
Fractional positions:
Cs: 0.125 0.366 0.759
Cs: 0.208 0.208 0.000
Cs: 0.276 0.000 0.276
Cs: 0.393 0.634 0.759
Cs: 0.607 0.366 0.241
Cs: 0.724 0.000 0.724
Cs: 0.792 0.792 0.000
Cs: 0.875 0.634 0.241
Sb: 0.324 0.824 0.500
Sb: 0.676 0.176 0.500
Cl: 0.000 0.500 0.500

The formation energy from raw total energies comes out at -0.54 eV/atom.